[1]
This record from the Alexandria database describes crystalline Na2PbSeO at its relaxed geometry. The functional is GGA-PBE.

Lattice parameters (Å, degrees): 4.0414 7.7385 7.4209 90.00 90.00 105.14
Closest atoms and distances in Å follow each position.
Element x y z (fractional)
Na  0.1528  0.3055  0.0028  1 O 2.28
Na  0.8472  0.6945  0.9972  1 O 2.28
Na  0.1528  0.3055  0.4972  1 O 2.28
Na  0.8472  0.6945  0.5028  1 O 2.28
Pb  0.5065  0.0130  0.7500  4 O 2.74, 1 Se 2.81
Pb  0.4935  0.9870  0.2500  4 O 2.74, 1 Se 2.81
Se  0.6947  0.3895  0.7500  1 Pb 2.81, 6 Na 2.83-2.93
Se  0.3053  0.6105  0.2500  1 Pb 2.81, 6 Na 2.83-2.93
O  0.0000  0.0000  0.0000  2 Na 2.28
O  0.0000  0.0000  0.5000  2 Na 2.28

ΔE_f (raw) = -951 meV per atom
total magnetic moment = 0.000 μB/f.u.
polymorph energy (0 for the lowest one) = 84.6 meV per atom

***

[2]
This record from the Alexandria database describes crystalline Na2PbSeO at its relaxed geometry. The functional is GGA-PBE.

Lattice parameters (Å, degrees): 4.5846 4.5846 4.9884 90.00 90.00 90.00
Closest atoms and distances in Å follow each position.
Element x y z (fractional)
Pb  0.0000  0.0000  0.5000  2 O 2.49
Na  0.0000  0.5000  0.0000  2 O 2.29
Na  0.5000  0.0000  0.0000  2 O 2.29
O  0.0000  0.0000  0.0000  4 Na 2.29, 2 Pb 2.49
Se  0.5000  0.5000  0.5000  4 Pb 3.24, 8 Na 3.39

ΔE_f (raw) = -1036 meV per atom
total magnetic moment = 0.000 μB/f.u.
polymorph energy (0 for the lowest one) = 0.0 meV per atom